Sm4SbPbC | PBE | optimized geometry

Cell: 7.000 16.236 6.999 Å, 90.00 90.00 90.00°
Space group Cmcm (No. 63)
Inequivalent atoms, fractional coordinates:
Sm 0.000 0.091 0.250 x4
Sm 0.000 0.408 0.250 x4
Sm 0.250 0.250 0.000 x8
Sb 0.000 0.110 0.750 x4
Pb 0.000 0.393 0.750 x4
C 0.000 0.249 0.250 x4

For the energy, the calculation gives -5.746 eV/atom. The value obtained for the theoretical density is 7.9 Mg/m³.